# CdFeO2F PBE+U relaxed
data_CdFeO2F
_symmetry_space_group_name_H-M 'P 4/m m m'
_symmetry_Int_Tables_number 123
_symmetry_space_group_name_Hall '-P 4 2'
_cell_length_a 4.157
_cell_length_b 4.157
_cell_length_c 4.254
_cell_angle_alpha 90.00
_cell_angle_beta 90.00
_cell_angle_gamma 90.00
loop_
_atom_site_label
_atom_site_type_symbol
_atom_site_fract_x
_atom_site_fract_y
_atom_site_fract_z
_atom_site_occupancy
Cd1 Cd 0.000 0.000 0.000 1
Fe1 Fe 0.500 0.500 0.500 1
O1 O 0.000 0.500 0.000 1
F1 F 0.000 0.000 0.500 1
# **Raw total energy**: -4.10 eV/atom
# **V**: 14.71 A^3/atom
# **Magnetization**: 3.9 Bohr magnetons per cell